No. 1
Entry from OQMD: TmAl2Au2 after structural relaxation (PBE-GGA).

Results
E_tot in eV for the cell shown: -21.861
Magnetization in μB per atom: 0.00
ρ in g/cm3: 10.42

Unit cell a=6.569 b=6.569 c=6.569 alpha=143.80 beta=143.80 gamma=52.13
Sites, in units of the cell vectors:
1 Tm 0.000 0.000 0.000
2 Al 0.250 0.750 0.500
3 Al 0.750 0.250 0.500
4 Au 0.385 0.385 0.000
5 Au 0.615 0.615 0.000

***

No. 2
Entry from OQMD: YTmAl4Au2 after structural relaxation (PBE-GGA).

Results
E_tot in eV for the cell shown: -37.761
Magnetization in μB per atom: 0.00
ρ in g/cm3: 8.15

Unit cell a=6.778 b=5.609 c=5.609 alpha=46.54 beta=90.00 gamma=90.00
Sites, in units of the cell vectors:
1 Y 0.000 0.000 0.000
2 Tm 0.500 0.845 0.845
3 Al 0.199 0.295 0.295
4 Al 0.302 0.550 0.550
5 Al 0.698 0.550 0.550
6 Al 0.801 0.295 0.295
7 Au 0.000 0.713 0.713
8 Au 0.500 0.131 0.131

***

No. 3
Entry from OQMD: TmAl2ZnAu after structural relaxation (PBE-GGA).

Results
E_tot in eV for the cell shown: -19.165
Magnetization in μB per atom: 0.00
ρ in g/cm3: 8.52

Unit cell a=6.443 b=6.443 c=6.443 alpha=143.39 beta=143.39 gamma=52.74
Sites, in units of the cell vectors:
1 Tm 0.000 0.000 0.000
2 Al 0.258 0.758 0.500
3 Al 0.758 0.258 0.500
4 Zn 0.395 0.395 0.000
5 Au 0.614 0.614 0.000

***

No. 4
Entry from OQMD: Tm3Al2ZnAu3 after structural relaxation (PBE-GGA).

Results
E_tot in eV for the cell shown: -38.857
Magnetization in μB per atom: 0.00
ρ in g/cm3: 10.97

Unit cell a=4.066 b=7.210 c=7.210 alpha=119.34 beta=90.00 gamma=90.00
Sites, in units of the cell vectors:
1 Tm 0.000 0.000 0.000
2 Tm 0.000 0.168 0.575
3 Tm 0.000 0.575 0.168
4 Al 0.500 0.583 0.824
5 Al 0.500 0.824 0.583
6 Zn 0.500 0.331 0.331
7 Au 0.000 0.590 0.590
8 Au 0.500 0.245 0.904
9 Au 0.500 0.904 0.245

***

No. 5
Entry from OQMD: Tm3AlZn2Au3 after structural relaxation (PBE-GGA).

Results
E_tot in eV for the cell shown: -36.079
Magnetization in μB per atom: 0.00
ρ in g/cm3: 11.36

Unit cell a=3.913 b=7.388 c=7.388 alpha=120.78 beta=90.00 gamma=90.00
Sites, in units of the cell vectors:
1 Tm 0.000 0.000 0.000
2 Tm 0.000 0.191 0.607
3 Tm 0.000 0.607 0.191
4 Al 0.500 0.353 0.353
5 Zn 0.500 0.596 0.854
6 Zn 0.500 0.854 0.596
7 Au 0.000 0.590 0.590
8 Au 0.500 0.268 0.943
9 Au 0.500 0.943 0.268

***

No. 6
Entry from OQMD: TmZrAl2Au4 after structural relaxation (PBE-GGA).

Results
E_tot in eV for the cell shown: -38.926
Magnetization in μB per atom: 0.00
ρ in g/cm3: 11.81

Unit cell a=4.513 b=4.513 c=8.785 alpha=90.00 beta=90.00 gamma=120.00
Sites, in units of the cell vectors:
1 Tm 0.000 0.000 0.000
2 Zr 0.333 0.667 0.500
3 Al 0.667 0.333 0.298
4 Al 0.667 0.333 0.702
5 Au 0.000 0.000 0.335
6 Au 0.000 0.000 0.665
7 Au 0.333 0.667 0.164
8 Au 0.333 0.667 0.836

***

No. 7
Entry from OQMD: AlWAu after structural relaxation (PBE-GGA).

Results
E_tot in eV for the cell shown: -17.883
Magnetization in μB per atom: 0.59
Distance to the lowest polymorph of the same formula in meV/atom: 0
ρ in g/cm3: 12.29

Unit cell a=4.271 b=4.271 c=4.271 alpha=60.00 beta=60.00 gamma=60.00
Sites, in units of the cell vectors:
1 Al 0.000 0.000 0.000
2 W 0.250 0.250 0.250
3 Au 0.750 0.750 0.750

***

No. 8
Entry from OQMD: AlWAu after structural relaxation (PBE-GGA).

Results
E_tot in eV for the cell shown: -17.474
Magnetization in μB per atom: 0.31
Distance to the lowest polymorph of the same formula in meV/atom: 136
ρ in g/cm3: 11.37

Unit cell a=4.384 b=4.384 c=4.384 alpha=60.00 beta=60.00 gamma=60.00
Sites, in units of the cell vectors:
1 Al 0.000 0.000 0.000
2 W 0.250 0.250 0.250
3 Au 0.500 0.500 0.500

***

No. 9
Entry from OQMD: Y2AlAu after structural relaxation (PBE-GGA).

Results
E_tot in eV for the cell shown: -20.558
Magnetization in μB per atom: 0.30
ρ in g/cm3: 7.31

Unit cell a=5.054 b=5.054 c=5.054 alpha=60.00 beta=60.00 gamma=60.00
Sites, in units of the cell vectors:
1 Y 0.000 0.000 0.000
2 Y 0.250 0.250 0.250
3 Al 0.500 0.500 0.500
4 Au 0.750 0.750 0.750

***

No. 10
Entry from OQMD: YAl2Au2 after structural relaxation (PBE-GGA).

Results
E_tot in eV for the cell shown: -24.028
Magnetization in μB per atom: 0.00
ρ in g/cm3: 8.90

Unit cell a=6.514 b=6.514 c=6.514 alpha=142.86 beta=142.86 gamma=53.54
Sites, in units of the cell vectors:
1 Y 0.000 0.000 0.000
2 Al 0.250 0.750 0.500
3 Al 0.750 0.250 0.500
4 Au 0.382 0.382 0.000
5 Au 0.618 0.618 0.000

***

No. 11
Entry from OQMD: Y2Al5Au3 after structural relaxation (PBE-GGA).

Results
E_tot in eV for the cell shown: -96.314
Magnetization in μB per atom: 0.00
ρ in g/cm3: 7.62

Unit cell a=8.617 b=8.617 c=8.617 alpha=101.54 beta=92.81 gamma=138.67
Sites, in units of the cell vectors:
1 Y 0.130 0.240 0.370
2 Y 0.370 0.740 0.110
3 Y 0.630 0.260 0.890
4 Y 0.870 0.760 0.630
5 Al 0.009 0.750 0.259
6 Al 0.114 0.646 0.759
7 Al 0.250 0.250 0.000
8 Al 0.386 0.146 0.532
9 Al 0.491 0.750 0.741
10 Al 0.509 0.250 0.259
11 Al 0.614 0.854 0.468
12 Al 0.750 0.750 0.000
13 Al 0.886 0.354 0.241
14 Al 0.991 0.250 0.741
15 Au 0.130 0.871 0.001
16 Au 0.250 0.750 0.500
17 Au 0.370 0.371 0.741
18 Au 0.630 0.629 0.259
19 Au 0.750 0.250 0.500
20 Au 0.870 0.129 0.999

***

No. 12
Entry from OQMD: Y2AlAu2 after structural relaxation (PBE-GGA).

Results
E_tot in eV for the cell shown: -24.730
Magnetization in μB per atom: 0.00
ρ in g/cm3: 8.27

Unit cell a=8.090 b=8.090 c=8.090 alpha=151.52 beta=151.52 gamma=40.71
Sites, in units of the cell vectors:
1 Y 0.106 0.106 0.000
2 Y 0.894 0.894 0.000
3 Al 0.500 0.500 0.000
4 Au 0.250 0.750 0.500
5 Au 0.750 0.250 0.500